Density functional theory data (GGA-PBE) for an optimized crystal structure of Ba2MnInTe5.

Unit cell a=4.4358 b=10.9109 c=13.9030 alpha=90.00 beta=90.00 gamma=101.73
Site moments in Bohr magnetons follow the coordinates.
Fractional coordinates of all 18 atoms:
Ba  0.8781  0.7561  0.7967  0.01
Ba  0.1150  0.2301  0.6697  0.01
Ba  0.1219  0.2439  0.2967  0.01
Ba  0.8850  0.7699  0.1697  0.01
Mn  0.7698  0.5396  0.5255  3.92
Mn  0.2302  0.4604  0.0255  3.92
In  0.5675  0.1350  0.9495  0.01
In  0.4325  0.8650  0.4495  0.01
Te  0.3551  0.7103  0.9867  0.04
Te  0.7001  0.4001  0.9035  -0.13
Te  0.5072  0.0144  0.7722  0.00
Te  0.2798  0.5595  0.6531  -0.12
Te  0.9583  0.9166  0.5671  0.01
Te  0.6449  0.2897  0.4867  0.04
Te  0.2999  0.5999  0.4035  -0.13
Te  0.4928  0.9856  0.2722  0.00
Te  0.7202  0.4405  0.1531  -0.12
Te  0.0417  0.0834  0.0671  0.01

The density of states at the Fermi level comes out at 2.30 states/eV/f.u. The calculation puts the raw total energy at -78.71 eV for the cell shown. As for the space group: Cmc2_1, No. 36.